(i)
{
  "formula": "Ca3TlSn2",
  "functional": "PBE",
  "state": "optimized geometry",
  "cell": [[-1.400, -3.428, 0.324], [1.056, -0.940, -5.380], [7.139, -2.471, 4.708]],
  "species": ["Ca", "Ca", "Ca", "Tl", "Sn", "Sn"],
  "fractional_positions": [[0.500, 0.500, 0.000], [0.500, 0.826, 0.653], [0.500, 0.174, 0.347], [0.000, 0.000, 0.000], [0.000, 0.341, 0.682], [0.000, 0.659, 0.318]],
  "sg": "No. 65",
  "magmom_total_mub_per_cell": 0.0
}

=====

(ii)
{
  "formula": "Ca3TlSn2",
  "functional": "PBE",
  "state": "optimized geometry",
  "cell": [[-1.264, 3.106, 1.626], [0.121, -1.689, 3.320], [11.750, 3.952, 1.583]],
  "species": ["Ca", "Ca", "Ca", "Tl", "Sn", "Sn"],
  "fractional_positions": [[0.000, 0.000, 0.000], [0.000, 0.000, 0.665], [0.000, 0.000, 0.335], [0.500, 0.500, 0.500], [0.500, 0.500, 0.830], [0.500, 0.500, 0.170]],
  "sg": "No. 123",
  "magmom_total_mub_per_cell": 0.0
}

=====

Least stable structure: (ii)

=====

(i)
{
  "formula": "CaTlSn4",
  "functional": "PBE",
  "state": "optimized geometry",
  "cell": [[6.288, 0.000, 0.000], [3.144, 5.445, 0.000], [3.144, 1.815, 5.134]],
  "species": ["Tl", "Ca", "Sn", "Sn", "Sn", "Sn"],
  "fractional_positions": [[0.000, 0.000, 0.000], [0.250, 0.250, 0.250], [0.625, 0.625, 0.125], [0.625, 0.125, 0.625], [0.625, 0.625, 0.625], [0.125, 0.625, 0.625]],
  "sg": "No. 216",
  "magmom_total_mub_per_cell": 0.0
}

=====

(ii)
{
  "formula": "CaTlSn4",
  "functional": "PBE",
  "state": "optimized geometry",
  "cell": [[4.959, 0.000, 2.626], [1.586, 5.315, 3.000], [-0.164, 0.046, 6.305]],
  "species": ["Ca", "Tl", "Sn", "Sn", "Sn", "Sn"],
  "fractional_positions": [[0.000, 0.000, 0.500], [0.000, 0.500, 0.000], [0.670, 0.576, 0.585], [0.670, 0.086, 0.075], [0.330, 0.914, 0.925], [0.330, 0.424, 0.415]],
  "sg": "No. 71",
  "magmom_total_mub_per_cell": 0.0
}

=====

Least stable structure: (i)

=====

(i)
{
  "formula": "Ca2Tl4Sn",
  "functional": "PBE",
  "state": "optimized geometry",
  "cell": [[4.586, 0.000, 0.000], [0.000, 6.992, 0.513], [-2.293, -2.994, 6.740]],
  "species": ["Ca", "Ca", "Tl", "Tl", "Tl", "Tl", "Sn"],
  "fractional_positions": [[0.777, 0.752, 0.554], [0.223, 0.248, 0.446], [0.890, 0.301, 0.780], [0.110, 0.699, 0.220], [0.571, 0.334, 0.142], [0.429, 0.666, 0.858], [0.000, 0.000, 0.000]],
  "sg": "No. 12",
  "magmom_total_mub_per_cell": 0.0
}

=====

(ii)
{
  "formula": "Ca2Tl4Sn",
  "functional": "PBE",
  "state": "optimized geometry",
  "cell": [[-5.568, 2.773, 0.383], [-3.713, -7.284, -1.233], [1.718, 2.251, 8.678]],
  "species": ["Ca", "Ca", "Ca", "Ca", "Tl", "Tl", "Tl", "Tl", "Tl", "Tl", "Tl", "Tl", "Sn", "Sn"],
  "fractional_positions": [[0.750, 0.800, 0.984], [0.250, 0.200, 0.016], [0.250, 0.918, 0.571], [0.750, 0.082, 0.429], [0.499, 0.378, 0.791], [0.750, 0.245, 0.160], [0.250, 0.755, 0.840], [0.001, 0.378, 0.791], [0.250, 0.420, 0.450], [0.999, 0.622, 0.209], [0.501, 0.622, 0.209], [0.750, 0.580, 0.550], [0.750, 0.009, 0.755], [0.250, 0.991, 0.245]],
  "sg": "No. 11",
  "magmom_total_mub_per_cell": 0.0
}

=====

Least stable structure: (i)

=====

(i)
{
  "formula": "CaTl2Sn2",
  "functional": "PBE",
  "state": "optimized geometry",
  "cell": [[8.305, 0.000, 0.000], [0.000, 8.305, 0.000], [0.000, 0.000, 4.419]],
  "species": ["Tl", "Tl", "Tl", "Tl", "Ca", "Ca", "Sn", "Sn", "Sn", "Sn"],
  "fractional_positions": [[0.170, 0.670, 0.500], [0.670, 0.830, 0.500], [0.830, 0.330, 0.500], [0.330, 0.170, 0.500], [0.000, 0.000, 0.000], [0.500, 0.500, 0.000], [0.373, 0.873, 0.000], [0.873, 0.627, 0.000], [0.627, 0.127, 0.000], [0.127, 0.373, 0.000]],
  "sg": "No. 127",
  "magmom_total_mub_per_cell": 0.0
}

=====

(ii)
{
  "formula": "CaTl2Sn2",
  "functional": "PBE",
  "state": "optimized geometry",
  "cell": [[8.704, 0.000, 0.000], [0.000, 8.704, 0.000], [0.000, 0.000, 3.919]],
  "species": ["Tl", "Tl", "Tl", "Tl", "Ca", "Ca", "Sn", "Sn", "Sn", "Sn"],
  "fractional_positions": [[0.365, 0.865, 0.000], [0.865, 0.635, 0.000], [0.635, 0.135, 0.000], [0.135, 0.365, 0.000], [0.000, 0.000, 0.000], [0.500, 0.500, 0.000], [0.162, 0.662, 0.500], [0.662, 0.838, 0.500], [0.838, 0.338, 0.500], [0.338, 0.162, 0.500]],
  "sg": "No. 127",
  "magmom_total_mub_per_cell": 0.0
}

=====

(iii)
{
  "formula": "CaTl2Sn2",
  "functional": "PBE",
  "state": "optimized geometry",
  "cell": [[4.501, 0.000, 0.000], [0.000, 4.501, 0.000], [2.250, 2.250, 7.755]],
  "species": ["Tl", "Tl", "Ca", "Sn", "Sn"],
  "fractional_positions": [[0.400, 0.400, 0.200], [0.600, 0.600, 0.800], [0.000, 0.000, 0.000], [0.750, 0.250, 0.500], [0.250, 0.750, 0.500]],
  "sg": "No. 139",
  "magmom_total_mub_per_cell": 0.0
}

=====

(iv)
{
  "formula": "CaTl2Sn2",
  "functional": "PBE",
  "state": "optimized geometry",
  "cell": [[4.490, 0.000, 0.000], [-2.245, 5.731, -1.064], [0.000, 1.213, 11.092]],
  "species": ["Ca", "Ca", "Tl", "Tl", "Tl", "Tl", "Sn", "Sn", "Sn", "Sn"],
  "fractional_positions": [[0.735, 0.470, 0.253], [0.265, 0.530, 0.747], [0.353, 0.706, 0.445], [0.454, 0.907, 0.147], [0.647, 0.294, 0.555], [0.546, 0.093, 0.853], [0.956, 0.913, 0.631], [0.170, 0.340, 0.039], [0.044, 0.087, 0.369], [0.830, 0.660, 0.961]],
  "sg": "No. 12",
  "magmom_total_mub_per_cell": 0.0
}

=====

Least stable structure: (iii)